Compound: Ho2LuTc
Source: Alexandria via LeMat-Bulk
Functional: PBE
Structure: relaxed

a b c (Å): 3.4545 3.4545 8.5939
angles (deg): 90.00 90.00 90.00
Last column: nearest neighbours and their distance in Å.
Sites, in units of the cell vectors:
1 Lu 0.5000 0.5000 0.5000  4 Lu 3.45, 8 Ho 3.62
2 Ho 0.0000 0.0000 0.8108  4 Tc 2.93, 1 Ho 3.25
3 Ho 0.0000 0.0000 0.1892  4 Tc 2.93, 1 Ho 3.25
4 Tc 0.5000 0.5000 0.0000  8 Ho 2.93

- Calculated density: 9761 kg/m3
- Energy relative to the elements: 17 meV/atom
- E above lowest polymorph: 0 meV/atom
- Calculated total energy: -5.993 eV per atom

Compound: LaMg14Nb
Source: Alexandria via LeMat-Bulk
Functional: PBE
Structure: relaxed

a b c (Å): 6.5129 6.5129 10.2353
angles (deg): 90.00 90.00 120.00
Last column: nearest neighbours and their distance in Å.
Sites, in units of the cell vectors:
1 La 0.0000 0.0000 0.0000  12 Mg 3.26-3.29
2 Mg 0.0162 0.5081 0.0000  10 Mg 3.10-3.41, 2 La 3.26
3 Mg 0.9949 0.4974 0.5000  10 Mg 3.07-3.31, 2 Nb 3.26
4 Mg 0.4919 0.9838 0.0000  10 Mg 3.10-3.41, 2 La 3.26
5 Mg 0.5026 0.0051 0.5000  10 Mg 3.07-3.31, 2 Nb 3.26
6 Mg 0.4919 0.5081 0.0000  10 Mg 3.10-3.41, 2 La 3.26
7 Mg 0.5026 0.4974 0.5000  10 Mg 3.07-3.31, 2 Nb 3.26
8 Mg 0.1645 0.8355 0.2654  1 Nb 3.03, 10 Mg 3.07-3.30, 1 La 3.29
9 Mg 0.1645 0.8355 0.7346  1 Nb 3.03, 10 Mg 3.07-3.30, 1 La 3.29
10 Mg 0.1645 0.3289 0.2654  1 Nb 3.03, 10 Mg 3.07-3.30, 1 La 3.29
11 Mg 0.1645 0.3289 0.7346  1 Nb 3.03, 10 Mg 3.07-3.30, 1 La 3.29
12 Mg 0.6711 0.8355 0.2654  1 Nb 3.03, 10 Mg 3.07-3.30, 1 La 3.29
13 Mg 0.6711 0.8355 0.7346  1 Nb 3.03, 10 Mg 3.07-3.30, 1 La 3.29
14 Mg 0.6667 0.3333 0.2363  12 Mg 3.12-3.27
15 Mg 0.6667 0.3333 0.7637  12 Mg 3.12-3.27
16 Nb 0.0000 0.0000 0.5000  12 Mg 3.03-3.26

- Calculated density: 2527 kg/m3
- Energy relative to the elements: 101 meV/atom
- E above lowest polymorph: 19 meV/atom
- Calculated total energy: -2.231 eV per atom

Compound: Hf3NO
Source: Alexandria via LeMat-Bulk
Functional: PBE
Structure: relaxed

a b c (Å): 4.3479 4.3479 4.3479
angles (deg): 90.00 90.00 90.00
Last column: nearest neighbours and their distance in Å.
Sites, in units of the cell vectors:
1 Hf 0.0000 0.5000 0.0000  2 N 2.17
2 Hf 0.0000 0.0000 0.5000  2 N 2.17
3 Hf 0.5000 0.0000 0.0000  2 N 2.17
4 O 0.5000 0.5000 0.5000  12 Hf 3.07
5 N 0.0000 0.0000 0.0000  6 Hf 2.17

- Calculated density: 11424 kg/m3
- Energy relative to the elements, uncorrected: -0.238 eV/atom
- E above lowest polymorph: 0 meV/atom
- Calculated total energy: -8.867 eV per atom

Compound: Cs3Ag2I7
Source: Alexandria via LeMat-Bulk
Functional: PBE
Structure: relaxed

a b c (Å): 5.8903 5.8903 15.8754
angles (deg): 100.69 100.69 90.00
Last column: nearest neighbours and their distance in Å.
Sites, in units of the cell vectors:
1 Cs 0.3206 0.3206 0.6412  9 I 3.93-4.18
2 Cs 0.6794 0.6794 0.3588  9 I 3.93-4.18
3 Cs 0.5000 0.5000 0.0000  12 I 4.06-4.17
4 Ag 0.0968 0.0968 0.1936  6 I 2.92-2.97
5 Ag 0.9032 0.9032 0.8064  6 I 2.92-2.97
6 I 0.0000 0.0000 0.0000  2 Ag 2.97
7 I 0.9087 0.4087 0.8175  2 Ag 2.95
8 I 0.4087 0.9087 0.8175  2 Ag 2.95
9 I 0.0913 0.5913 0.1825  2 Ag 2.95
10 I 0.5913 0.0913 0.1825  2 Ag 2.95
11 I 0.1922 0.1922 0.3844  1 Ag 2.92
12 I 0.8078 0.8078 0.6156  1 Ag 2.92

- Calculated density: 4695 kg/m3
- Energy relative to the elements, uncorrected: -0.838 eV/atom
- E above lowest polymorph: 0 meV/atom
- Calculated total energy: -2.431 eV per atom

Compound: LiMg2Hg
Source: Alexandria via LeMat-Bulk
Functional: PBE
Structure: relaxed

a b c (Å): 5.4484 5.4484 4.5382
angles (deg): 64.83 64.83 42.33
Last column: nearest neighbours and their distance in Å.
Sites, in units of the cell vectors:
1 Mg 0.9956 0.9956 0.0043  4 Hg 3.00-3.01, 4 Li 3.04-3.17, 4 Mg 3.08-3.14
2 Mg 0.7582 0.7582 0.7433  4 Hg 2.99-3.23, 4 Li 3.00-3.02, 4 Mg 3.08-3.14
3 Hg 0.5072 0.5072 0.4922  2 Li 2.87, 7 Mg 2.99-3.19
4 Li 0.2390 0.2390 0.2601  2 Hg 2.87, 8 Mg 3.00-3.17

- Calculated density: 5269 kg/m3
- Energy relative to the elements: -202 meV/atom
- Calculated total energy: -1.553 eV per atom

Compound: TaCo
Source: Alexandria via LeMat-Bulk
Functional: PBE
Structure: relaxed

a b c (Å): 9.4244 9.4244 2.7225
angles (deg): 90.00 90.00 90.00
Last column: nearest neighbours and their distance in Å.
Sites, in units of the cell vectors:
1 Ta 0.3759 0.3239 0.0000  4 Co 2.47-2.66, 2 Ta 2.72
2 Ta 0.6241 0.6761 0.0000  4 Co 2.47-2.66, 2 Ta 2.72
3 Ta 0.6761 0.3759 0.0000  4 Co 2.47-2.66, 2 Ta 2.72
4 Ta 0.3239 0.6241 0.0000  4 Co 2.47-2.66, 2 Ta 2.72
5 Ta 0.8759 0.8239 0.5000  4 Co 2.47-2.66, 2 Ta 2.72
6 Ta 0.1241 0.1761 0.5000  4 Co 2.47-2.66, 2 Ta 2.72
7 Ta 0.1761 0.8759 0.5000  4 Co 2.47-2.66, 2 Ta 2.72
8 Ta 0.8239 0.1241 0.5000  4 Co 2.47-2.66, 2 Ta 2.72
9 Co 0.4176 0.8683 0.0000  4 Ta 2.47-2.66, 6 Co 2.48-2.72
10 Co 0.5824 0.1317 0.0000  4 Ta 2.47-2.66, 6 Co 2.48-2.72
11 Co 0.1317 0.4176 0.0000  4 Ta 2.47-2.66, 6 Co 2.48-2.72
12 Co 0.8683 0.5824 0.0000  4 Ta 2.47-2.66, 6 Co 2.48-2.72
13 Co 0.9176 0.3683 0.5000  4 Ta 2.47-2.66, 6 Co 2.48-2.72
14 Co 0.0824 0.6317 0.5000  4 Ta 2.47-2.66, 6 Co 2.48-2.72
15 Co 0.6317 0.9176 0.5000  4 Ta 2.47-2.66, 6 Co 2.48-2.72
16 Co 0.3683 0.0824 0.5000  4 Ta 2.47-2.66, 6 Co 2.48-2.72

- Calculated density: 13178 kg/m3
- Energy relative to the elements: 336 meV/atom
- Calculated total energy: -9.144 eV per atom

Compound: LiGdThNb
Source: Alexandria via LeMat-Bulk
Functional: PBE
Structure: relaxed

a b c (Å): 5.1534 5.1534 5.1534
angles (deg): 60.00 60.00 60.00
Last column: nearest neighbours and their distance in Å.
Sites, in units of the cell vectors:
1 Nb 0.0000 0.0000 0.0000  4 Gd 3.16, 4 Th 3.16
2 Gd 0.7500 0.7500 0.7500  4 Nb 3.16, 4 Li 3.16
3 Th 0.2500 0.2500 0.2500  4 Nb 3.16, 4 Li 3.16
4 Li 0.5000 0.5000 0.5000  4 Gd 3.16, 4 Th 3.16

- Calculated density: 8393 kg/m3
- Energy relative to the elements: 222 meV/atom
- Calculated total energy: -8.149 eV per atom

Compound: KRu2Rh
Source: Alexandria via LeMat-Bulk
Functional: PBE
Structure: relaxed

a b c (Å): 5.0907 5.0907 5.0907
angles (deg): 134.02 134.02 67.05
Last column: nearest neighbours and their distance in Å.
Sites, in units of the cell vectors:
1 K 0.2500 0.7500 0.5000  4 Rh 2.81, 8 Ru 2.91
2 Rh 0.7500 0.2500 0.5000  4 K 2.81, 8 Ru 2.91
3 Ru 0.0000 0.0000 0.0000  4 Ru 2.81, 4 Rh 2.91, 4 K 2.91
4 Ru 0.5000 0.5000 0.0000  4 Ru 2.81, 4 K 2.91, 4 Rh 2.91

- Calculated density: 8517 kg/m3
- Energy relative to the elements: 1349 meV/atom
- E above lowest polymorph: 755 meV/atom
- Calculated total energy: -5.401 eV per atom